# 1
VASP calculation (PBE) on a relaxed LiSnCl2 crystal.

Unit cell a=8.506 b=8.506 c=8.506 alpha=24.25 beta=24.25 gamma=24.25
Atoms (fractional coordinates):
1 Sn 0.000 0.000 0.000
2 Li 0.500 0.500 0.500
3 Cl 0.109 0.109 0.109
4 Cl 0.891 0.891 0.891

Final energy: -3.563 eV per atom
Energy relative to the elements, uncorrected: -448 kJ/mol of formula units
Excess energy over the best structure of this formula in the dataset: 0 meV/atom

---

# 2
VASP calculation (PBE) on a relaxed YPa3Tl2O12 crystal.

Unit cell a=8.122 b=8.122 c=8.122 alpha=61.26 beta=61.26 gamma=61.26
Site moments in Bohr magnetons follow the coordinates.
Atoms (fractional coordinates):
1 O 0.674 0.064 0.064  0.22
2 Pa 0.500 0.000 0.000  0.11
3 O 0.042 0.692 0.692  0.24
4 O 0.692 0.692 0.042  0.24
5 O 0.308 0.958 0.308  0.24
6 O 0.692 0.042 0.692  0.24
7 O 0.326 0.936 0.936  0.22
8 Pa 0.000 0.000 0.500  0.11
9 O 0.064 0.064 0.674  0.22
10 O 0.308 0.308 0.958  0.24
11 Tl 0.683 0.683 0.683  0.00
12 O 0.064 0.674 0.064  0.22
13 O 0.936 0.326 0.936  0.22
14 Tl 0.317 0.317 0.317  0.00
15 O 0.936 0.936 0.326  0.22
16 Y 0.000 0.000 0.000  0.01
17 O 0.958 0.308 0.308  0.24
18 Pa 0.000 0.500 0.000  0.11

Final energy: -7.983 eV per atom
Energy relative to the elements, uncorrected: -4294 kJ/mol of formula units

---

# 3
VASP calculation (PBE) on a relaxed PmPrSiRh crystal.

Unit cell a=5.098 b=5.098 c=5.098 alpha=60.00 beta=60.00 gamma=60.00
Atoms (fractional coordinates):
1 Pm 0.000 0.000 0.000
2 Si 0.750 0.750 0.750
3 Rh 0.250 0.250 0.250
4 Pr 0.500 0.500 0.500

Final energy: -6.084 eV per atom
Energy relative to the elements, uncorrected: -196 kJ/mol of formula units
Excess energy over the best structure of this formula in the dataset: 237 meV/atom

---

# 4
VASP calculation (PBE) on a relaxed LaAsSe2Cl crystal.

Unit cell a=5.158 b=5.158 c=4.767 alpha=90.00 beta=90.00 gamma=90.00
Atoms (fractional coordinates):
1 Se 0.500 0.000 0.000
2 La 0.500 0.500 0.500
3 Cl 0.000 0.000 0.000
4 Se 0.000 0.500 0.000
5 As 0.000 0.000 0.500

Final energy: -3.916 eV per atom
Energy relative to the elements, uncorrected: -115 kJ/mol of formula units
Excess energy over the best structure of this formula in the dataset: 0 meV/atom

---

# 5
VASP calculation (PBE) on a relaxed Pm12Er6Sc crystal.

Unit cell a=8.590 b=8.590 c=8.590 alpha=89.12 beta=89.12 gamma=89.12
Atoms (fractional coordinates):
1 Pm 0.639 0.982 0.811
2 Pm 0.189 0.361 0.018
3 Pm 0.018 0.189 0.361
4 Pm 0.564 0.217 0.464
5 Pm 0.436 0.783 0.536
6 Er 0.099 0.709 0.259
7 Pm 0.982 0.811 0.639
8 Pm 0.217 0.464 0.564
9 Sc 0.000 0.000 0.000
10 Er 0.709 0.259 0.099
11 Pm 0.536 0.436 0.783
12 Pm 0.361 0.018 0.189
13 Pm 0.811 0.639 0.982
14 Er 0.259 0.099 0.709
15 Pm 0.783 0.536 0.436
16 Er 0.901 0.291 0.741
17 Er 0.291 0.741 0.901
18 Er 0.741 0.901 0.291
19 Pm 0.464 0.564 0.217

Final energy: -4.636 eV per atom
Energy relative to the elements: 0.14 eV per atom

---

# 6
VASP calculation (PBE) on a relaxed SrLi2NbZn crystal.

Unit cell a=4.542 b=5.253 c=4.542 alpha=90.00 beta=90.00 gamma=90.00
Site moments in Bohr magnetons follow the coordinates.
Atoms (fractional coordinates):
1 Zn 0.000 0.500 0.000  -0.02
2 Sr 0.000 0.000 0.000  -0.01
3 Li 0.500 0.000 0.000  0.01
4 Nb 0.500 0.500 0.500  0.63
5 Li 0.000 0.000 0.500  -0.01

Final energy: -1.948 eV per atom
Energy relative to the elements: 1.42 eV per atom

---

Q: The highest final energy belongs to which entry?
A: SrLi2NbZn

---

Q: Which value of final energy does entry 5 give?
A: -4.636 eV per atom

---

Q: Among the records above, which one has the lowest final energy?
A: YPa3Tl2O12